Entry 1:
Computed, not measured: an optimized crystal structure of TaTcHg at the GGA-PBE level of DFT. Values from VASP.

Geometry as Quantum ESPRESSO input:
```
&SYSTEM
  ibrav = 0, nat = 3, ntyp = 3
/
ATOMIC_SPECIES
Ta 180.95 Ta.upf
Tc 98.00 Tc.upf
Hg 200.59 Hg.upf
CELL_PARAMETERS angstrom
-1.685 1.685 4.721
1.685 -1.685 4.721
1.685 1.685 -4.721
ATOMIC_POSITIONS angstrom
Ta 0.000 0.000 0.000
Tc 0.000 0.000 3.528
Hg 0.000 0.000 6.494
```

Values from the calculation:
- Density of states at the Fermi level: 0.2 states/eV per cell
- Calculated volume: 54 Å³/f.u.
- Energy above the lowest structure with this stoichiometry: 0.00 eV/f.u.
- Formation enthalpy at 0 K: 0.123 eV/atom
- Symmetry: I4mm, No. 107



Entry 2:
Computed, not measured: an optimized crystal structure of AcPm3Tm8 at the GGA-PBE level of DFT. Values from VASP.

Geometry as Quantum ESPRESSO input:
```
&SYSTEM
  ibrav = 0, nat = 12, ntyp = 3
/
ATOMIC_SPECIES
Ac 227.00 Ac.upf
Pm 145.00 Pm.upf
Tm 168.93 Tm.upf
CELL_PARAMETERS angstrom
-3.156 5.701 5.815
3.156 -5.701 5.815
3.156 5.701 -5.815
ATOMIC_POSITIONS angstrom
Ac 0.000 0.000 0.000
Pm 3.156 2.934 0.000
Pm 0.000 5.701 0.000
Pm 0.000 2.767 5.815
Tm 3.156 -2.838 3.748
Tm 1.595 5.701 -2.801
Tm 1.561 0.000 3.014
Tm 0.000 2.863 2.067
Tm 3.156 2.838 3.748
Tm 1.595 5.701 2.801
Tm 1.561 0.000 8.617
Tm 0.000 8.539 2.067
```

Values from the calculation:
- Density of states at the Fermi level: 19.4 states/eV per cell
- Calculated volume: 419 Å³/f.u.
- Formation enthalpy at 0 K: 0.306 eV/atom
- Symmetry: Immm, No. 71



Entry 3:
Computed, not measured: an optimized crystal structure of CaSc2Si at the GGA-PBE level of DFT. Values from VASP.

Geometry as Quantum ESPRESSO input:
```
&SYSTEM
  ibrav = 0, nat = 4, ntyp = 3
/
ATOMIC_SPECIES
Ca 40.08 Ca.upf
Sc 44.96 Sc.upf
Si 28.09 Si.upf
CELL_PARAMETERS angstrom
3.659 0.000 0.000
0.000 4.194 0.000
-1.204 0.000 6.327
ATOMIC_POSITIONS angstrom
Ca 0.000 0.000 0.000
Sc 0.575 2.097 4.464
Sc 1.880 2.097 1.864
Si -0.602 0.000 3.164
```

Values from the calculation:
- Density of states at the Fermi level: 4.2 states/eV per cell
- Final energy: -0.1890 Ha/atom
- Calculated volume: 97 Å³/f.u.
- Symmetry: P2/m, No. 10



Entry 4:
Computed, not measured: an optimized crystal structure of PtRhAu at the GGA-PBE level of DFT. Values from VASP.

Geometry as Quantum ESPRESSO input:
```
&SYSTEM
  ibrav = 0, nat = 3, ntyp = 3
/
ATOMIC_SPECIES
Pt 195.08 Pt.upf
Rh 102.91 Rh.upf
Au 196.97 Au.upf
CELL_PARAMETERS angstrom
0.000 3.068 3.068
3.068 0.000 3.068
3.068 3.068 0.000
ATOMIC_POSITIONS angstrom
Pt 0.000 0.000 0.000
Rh 1.534 1.534 1.534
Au 4.602 4.602 4.602
```

Values from the calculation:
- Density of states at the Fermi level: 3.1 states/eV per cell
- Calculated volume: 58 Å³/f.u.
- Energy above the lowest structure with this stoichiometry: 1.19 eV/f.u.
- Formation enthalpy at 0 K: 0.486 eV/atom
- Symmetry: F-43m, No. 216



- density of states at the Fermi level of number 4 (PtRhAu)?
  3.1 states/eV per cell



- Which of these has the lowest density of states at the Fermi level?
  TaTcHg



What did the fourth record say?
Computed, not measured: an optimized crystal structure of PtRhAu at the GGA-PBE level of DFT. Values from VASP.

Geometry as Quantum ESPRESSO input:
```
&SYSTEM
  ibrav = 0, nat = 3, ntyp = 3
/
ATOMIC_SPECIES
Pt 195.08 Pt.upf
Rh 102.91 Rh.upf
Au 196.97 Au.upf
CELL_PARAMETERS angstrom
0.000 3.068 3.068
3.068 0.000 3.068
3.068 3.068 0.000
ATOMIC_POSITIONS angstrom
Pt 0.000 0.000 0.000
Rh 1.534 1.534 1.534
Au 4.602 4.602 4.602
```

Values from the calculation:
- Density of states at the Fermi level: 3.1 states/eV per cell
- Calculated volume: 58 Å³/f.u.
- Energy above the lowest structure with this stoichiometry: 1.19 eV/f.u.
- Formation enthalpy at 0 K: 0.486 eV/atom
- Symmetry: F-43m, No. 216



- Among the records above, which one has the lowest calculated volume?
  TaTcHg